Entry 1:
Here is CsCd2Pb10 after structural relaxation from Alexandria. Energies are from PBE-GGA.

As for the mass density: 9.38 Mg/m³. The value obtained for the energy is -3.089 eV/atom. The value obtained for the formation enthalpy at 0 K is -0.0301 eV/atom. Its space group is Fmmm, No. 69.

Cell: 11.5923 9.1187 8.4779 Å, 82.33 51.22 46.45°
Last column: nearest neighbours and their distance in Å.
Sites, in units of the cell vectors:
1 Cs 0.0000 0.0000 0.0000  16 Pb 4.13-4.24, 4 Cd 4.56
2 Cd 0.0000 0.5000 0.0000  2 Cd 3.21, 8 Pb 3.25-3.45
3 Cd 0.5000 0.0000 0.5000  2 Cd 3.21, 8 Pb 3.25-3.45
4 Pb 0.0000 0.0000 0.5000  6 Pb 3.21-3.40
5 Pb 0.0002 0.3565 0.6435  7 Pb 3.33-3.62, 2 Cd 3.45
6 Pb 0.9998 0.6435 0.3565  7 Pb 3.33-3.62, 2 Cd 3.45
7 Pb 0.2715 0.4908 0.5092  2 Cd 3.25, 7 Pb 3.40-3.62
8 Pb 0.3565 0.0002 0.9998  7 Pb 3.33-3.62, 2 Cd 3.45
9 Pb 0.4908 0.2715 0.7285  2 Cd 3.25, 7 Pb 3.40-3.62
10 Pb 0.5000 0.5000 0.0000  6 Pb 3.21-3.40
11 Pb 0.5092 0.7285 0.2715  2 Cd 3.25, 7 Pb 3.40-3.62
12 Pb 0.6435 0.9998 0.0002  7 Pb 3.33-3.62, 2 Cd 3.45
13 Pb 0.7285 0.5092 0.4908  2 Cd 3.25, 7 Pb 3.40-3.62

Entry 2:
Here is Li2Si2Ir after structural relaxation from Alexandria. Energies are from PBE-GGA.

As for the mass density: 5.86 Mg/m³. The formation energy (no corrections) is -176 kJ/mol of formula units. The value obtained for the energy is -5.071 eV/atom. Its space group is P4/mbm, No. 127.

Cell: 6.1740 6.1740 3.8979 Å, 90.00 90.00 90.00°
Last column: nearest neighbours and their distance in Å.
Sites, in units of the cell vectors:
1 Li 0.1732 0.3268 0.0000  6 Si 2.57-2.74
2 Li 0.3268 0.8268 0.0000  6 Si 2.57-2.74
3 Li 0.6732 0.1732 0.0000  6 Si 2.57-2.74
4 Li 0.8268 0.6732 0.0000  6 Si 2.57-2.74
5 Si 0.1356 0.6356 0.5000  1 Si 2.37, 2 Ir 2.40, 2 Li 2.57
6 Si 0.3644 0.1356 0.5000  1 Si 2.37, 2 Ir 2.40, 2 Li 2.57
7 Si 0.6356 0.8644 0.5000  1 Si 2.37, 2 Ir 2.40, 2 Li 2.57
8 Si 0.8644 0.3644 0.5000  1 Si 2.37, 2 Ir 2.40, 2 Li 2.57
9 Ir 0.0000 0.0000 0.5000  4 Si 2.40
10 Ir 0.5000 0.5000 0.5000  4 Si 2.40

Entry 3:
Here is TaSb2Au after structural relaxation from Alexandria. Energies are from PBE-GGA.

As for the mass density: 11.88 Mg/m³. The formation energy (no corrections) is 58 kJ/mol of formula units. The value obtained for the energy is -5.694 eV/atom. Its space group is R-3m, No. 166.

Cell: 8.9209 8.9209 8.9209 Å, 21.93 21.93 21.93°
Last column: nearest neighbours and their distance in Å.
Sites, in units of the cell vectors:
1 Ta 0.0000 0.0000 0.0000  6 Sb 2.89
2 Sb 0.2521 0.2521 0.2521  3 Ta 2.89, 3 Au 2.97
3 Sb 0.7479 0.7479 0.7479  3 Ta 2.89, 3 Au 2.97
4 Au 0.5000 0.5000 0.5000  6 Sb 2.97

Entry 4:
Here is NaBeAlAg2 after structural relaxation from Alexandria. Energies are from PBE-GGA.

As for the mass density: 4.07 Mg/m³. The value obtained for the energy is -2.491 eV/atom. The value obtained for the formation enthalpy at 0 K is 0.4068 eV/atom. Its space group is P4/mmm, No. 123.

Cell: 4.9928 4.9928 4.5006 Å, 90.00 90.00 90.00°
Last column: nearest neighbours and their distance in Å.
Sites, in units of the cell vectors:
1 Na 0.0000 0.0000 0.0000  8 Ag 3.36, 4 Be 3.53
2 Be 0.5000 0.5000 0.0000  2 Al 2.25
3 Al 0.5000 0.5000 0.5000  2 Be 2.25, 4 Ag 2.50
4 Ag 0.0000 0.5000 0.5000  2 Al 2.50
5 Ag 0.5000 0.0000 0.5000  2 Al 2.50

Entry 5:
Here is LiLaBr3 after structural relaxation from Alexandria. Energies are from PBE-GGA.

As for the mass density: 3.20 Mg/m³. The formation energy (no corrections) is -625 kJ/mol of formula units. The value obtained for the energy is -3.667 eV/atom. Its space group is Pm-3m, No. 221.

Cell: 5.8517 5.8517 5.8517 Å, 90.00 90.00 90.00°
Last column: nearest neighbours and their distance in Å.
Sites, in units of the cell vectors:
1 Li 0.0000 0.0000 0.0000  12 Br 4.14
2 La 0.5000 0.5000 0.5000  6 Br 2.93
3 Br 0.0000 0.5000 0.5000  2 La 2.93
4 Br 0.5000 0.0000 0.5000  2 La 2.93
5 Br 0.5000 0.5000 0.0000  2 La 2.93

Entry 6:
Here is KY2Mn after structural relaxation from Alexandria. Energies are from PBE-GGA.

As for the mass density: 3.77 Mg/m³. The value obtained for the energy is -5.049 eV/atom. The value obtained for the formation enthalpy at 0 K is 0.7494 eV/atom. Its space group is P4/mmm, No. 123.

Cell: 5.4966 5.4966 3.9592 Å, 90.00 90.00 90.00°
Last column: nearest neighbours and their distance in Å.
Sites, in units of the cell vectors:
1 K 0.0000 0.0000 0.0000  8 Y 3.39
2 Y 0.0000 0.5000 0.5000  4 Mn 3.39, 4 K 3.39
3 Y 0.5000 0.0000 0.5000  4 Mn 3.39, 4 K 3.39
4 Mn 0.5000 0.5000 0.0000  8 Y 3.39

Entry 7:
Here is LaFe2Os after structural relaxation from Alexandria. Energies are from PBE-GGA.

As for the mass density: 10.96 Mg/m³. The value obtained for the energy is -7.758 eV/atom. The value obtained for the formation enthalpy at 0 K is 0.5131 eV/atom. Its space group is Imm2, No. 44.

Cell: 5.5535 5.5535 5.5535 Å, 149.23 129.76 60.08°
Last column: nearest neighbours and their distance in Å.
Sites, in units of the cell vectors:
1 La 0.0000 0.0000 0.0000  6 Fe 2.78-3.10, 2 La 2.95, 2 Os 3.09
2 Fe 0.5031 0.5031 0.0000  2 Fe 2.52, 2 Os 2.58, 4 La 2.78
3 Fe 0.7160 0.2160 0.5000  2 Fe 2.52
4 Os 0.2828 0.7828 0.5000  6 Fe 2.58-2.85

Entry 8:
Here is ScMn2Au after structural relaxation from Alexandria. Energies are from PBE-GGA.

As for the mass density: 8.45 Mg/m³. The value obtained for the energy is -6.975 eV/atom. The value obtained for the formation enthalpy at 0 K is 0.0123 eV/atom. Its space group is P4/mmm, No. 123.

Cell: 3.4579 3.4579 5.7787 Å, 90.00 90.00 90.00°
Last column: nearest neighbours and their distance in Å.
Sites, in units of the cell vectors:
1 Sc 0.0000 0.0000 0.0000  8 Mn 2.85, 2 Au 2.89
2 Mn 0.5000 0.5000 0.2526  4 Au 2.83, 4 Sc 2.85, 2 Mn 2.86-2.92
3 Mn 0.5000 0.5000 0.7474  4 Au 2.83, 4 Sc 2.85, 2 Mn 2.86-2.92
4 Au 0.0000 0.0000 0.5000  8 Mn 2.83, 2 Sc 2.89